A plane-wave DFT calculation with PBE was carried out for a relaxed Rb3Er2CdSe6 crystal.

Volume   30.7 Å³ per atom
Uncorrected formation energy   -1322 meV per atom
Spin magnetization   0.000 μB/cell

Geometry as POSCAR:
```
Rb3Er2CdSe6
1.0
7.261 0.001 0.003
-3.628 6.290 0.003
-1.209 -2.093 8.056
Rb Er Cd Se
3 2 1 6
Direct
0.164 0.836 0.500 Rb
0.836 0.164 0.500 Rb
0.500 0.500 0.500 Rb
0.333 0.667 0.000 Er
0.667 0.333 0.000 Er
0.000 0.000 0.000 Cd
0.935 0.596 0.805 Se
0.726 0.726 0.194 Se
0.065 0.404 0.195 Se
0.596 0.935 0.805 Se
0.274 0.274 0.806 Se
0.404 0.065 0.195 Se
```

A plane-wave DFT calculation with PBE was carried out for a relaxed Pm2BeGa3 crystal.

Relative energy among the computed polymorphs   0 meV per atom
Formation enthalpy at 0 K   -539 meV/atom
Volume   21.2 Å³ per atom
Spin magnetization   0.000 μB/cell

Geometry as POSCAR:
```
Pm2BeGa3
1.0
0.293 -5.917 -0.429
3.330 -0.236 4.913
-7.785 2.490 1.778
Pm Be Ga
4 2 6
Direct
0.250 0.750 0.500 Pm
0.755 0.755 0.000 Pm
0.750 0.250 0.500 Pm
0.245 0.245 0.000 Pm
0.667 0.667 0.333 Be
0.333 0.333 0.667 Be
0.349 0.825 0.174 Ga
0.175 0.651 0.826 Ga
0.651 0.175 0.826 Ga
0.825 0.349 0.174 Ga
0.174 0.174 0.347 Ga
0.826 0.826 0.653 Ga
```

A plane-wave DFT calculation with PBE was carried out for a relaxed MgTeW crystal.

Relative energy among the computed polymorphs   1 meV per atom
Volume   21.6 Å³ per atom
Uncorrected formation energy   347 meV per atom
Spin magnetization   0.000 μB/cell

Geometry as POSCAR:
```
MgTeW
1.0
-3.294 0.153 -0.168
1.466 -2.670 1.275
-0.185 2.879 6.243
Mg Te W
1 1 1
Direct
0.000 0.000 0.968 Mg
0.667 0.333 0.378 Te
0.333 0.667 0.654 W
```